Material: Cs3RbCa2Br9
Method: DFT, PBE
State: relaxed

The space group is P-3m1 (No. 164) and the conventional cell measures 8.0537, 8.0537 and 11.7823 Å, with angles of 90.00, 90.00 and 120.00 degrees. Symmetry generates all atoms from Cs at (0.0000, 0.0000, 0.0000), Cs at (0.3333, 0.6667, 0.7425), Rb at (0.0000, 0.0000, 0.5000), Ca at (0.3333, 0.6667, 0.1491), Br at (0.0000, 0.5000, 0.0000) and Br at (0.1666, 0.3332, 0.2893).

The total energy is -48.40 eV/cell. For the size of the total moment, the calculation gives 1.07 μB/cell. The formation energy (no corrections) comes out at -1.721 eV/atom.

---

Material: CsRb2CaBr6
Method: DFT, PBE
State: relaxed

The space group is Fm-3m (No. 225) and the conventional cell measures 12.530, 12.530 and 12.530 Å, with angles of 90.00, 90.00 and 90.00 degrees. Symmetry generates all atoms from Cs at (0.000, 0.000, 0.000), Rb at (0.250, 0.250, 0.250), Ca at (0.000, 0.000, 0.500) and Br at (0.000, 0.000, 0.272).

The total energy is -119.14 eV/cell. For the size of the total moment, the calculation gives 4.00 μB/cell. The formation energy (no corrections) comes out at -1.496 eV/atom.

---

Material: Cs2Rb3CaBr6
Method: DFT, PBE
State: relaxed

The space group is C2/m (No. 12) and the conventional cell measures 8.766, 15.367 and 8.643 Å, with angles of 90.00, 109.10 and 90.00 degrees. Symmetry generates all atoms from Cs at (0.000, 0.168, 0.000), Rb at (0.000, 0.000, 0.500), Rb at (0.000, 0.340, 0.500), Ca at (0.000, 0.500, 0.000), Br at (0.208, 0.365, 0.217) and Br at (0.208, 0.500, 0.783).

The total energy is -73.20 eV/cell. For the size of the total moment, the calculation gives 0.00 μB/cell. The formation energy (no corrections) comes out at -1.663 eV/atom.

---

Material: CsRb2CaBr5
Method: DFT, PBE
State: relaxed

The space group is Immm (No. 71) and the conventional cell measures 5.619, 8.197 and 16.577 Å, with angles of 90.00, 90.00 and 90.00 degrees. Symmetry generates all atoms from Cs at (0.000, 0.000, 0.000), Rb at (0.000, 0.500, 0.207), Ca at (0.000, 0.000, 0.500), Br at (0.000, 0.245, 0.372) and Br at (0.000, 0.500, 0.000).

The total energy is -59.81 eV/cell. For the size of the total moment, the calculation gives 0.00 μB/cell. The formation energy (no corrections) comes out at -1.861 eV/atom.